# 1
Computed, not measured: an optimized crystal structure of Fe2CoPtC at the PBE-GGA level of DFT.

Cell: 3.8861 3.8861 3.7745 Å, 90.00 90.00 90.00°
Element x y z (fractional)
Fe: 0.0000 0.5000 0.0000
Fe: 0.5000 0.0000 0.0000
C: 0.0000 0.0000 0.0000
Co: 0.0000 0.0000 0.5000
Pt: 0.5000 0.5000 0.5000

Summary:
As for the calculated formation energy: 0.0350 eV per atom. The density of states at the Fermi level is 0.726 states/eV/atom. For the uncorrected energy, the calculation gives -7.8242 eV/atom.

---

# 2
Computed, not measured: an optimized crystal structure of Fe2CoRhC at the PBE-GGA level of DFT.

Cell: 3.8614 3.8614 3.7305 Å, 90.00 90.00 90.00°
Element x y z (fractional)
Rh: 0.5000 0.5000 0.5000
Fe: 0.5000 0.0000 0.0000
C: 0.0000 0.0000 0.0000
Co: 0.0000 0.0000 0.5000
Fe: 0.0000 0.5000 0.0000

Summary:
As for the calculated formation energy: 0.1291 eV per atom. The density of states at the Fermi level is 0.888 states/eV/atom. For the uncorrected energy, the calculation gives -7.9922 eV/atom. The energy above the most stable polymorph in this dataset comes out at 0.00 kcal/mol of atoms.

---

# 3
Computed, not measured: an optimized crystal structure of FeCo2RhC at the PBE-GGA level of DFT.

Cell: 3.7656 3.7656 3.9019 Å, 90.00 90.00 90.00°
Element x y z (fractional)
Fe: 0.0000 0.0000 0.5000
C: 0.0000 0.0000 0.0000
Co: 0.5000 0.0000 0.0000
Co: 0.0000 0.5000 0.0000
Rh: 0.5000 0.5000 0.5000

Summary:
As for the calculated formation energy: 0.1665 eV per atom. The density of states at the Fermi level is 0.991 states/eV/atom. For the uncorrected energy, the calculation gives -7.6835 eV/atom.

---

# 4
Computed, not measured: an optimized crystal structure of Fe2CoRhC at the PBE-GGA level of DFT.

Cell: 4.2824 4.4370 4.2824 Å, 90.00 90.00 90.00°
Element x y z (fractional)
Fe: 0.0000 0.0000 0.5000
Fe: 0.5000 0.0000 0.0000
Co: 0.0000 0.0000 0.0000
Rh: 0.0000 0.5000 0.0000
C: 0.5000 0.5000 0.5000

Summary:
As for the calculated formation energy: 2.1421 eV per atom. The density of states at the Fermi level is 1.152 states/eV/atom. For the uncorrected energy, the calculation gives -5.9793 eV/atom. The energy above the most stable polymorph in this dataset comes out at 46.42 kcal/mol of atoms.